# 1
First-principles (PBE) data for a relaxed LiTlTeSe3 crystal, as listed in Alexandria.

Lattice parameters (Å, degrees): 4.1124 13.7601 11.1159 90.00 90.00 90.00
Space group Cmcm (No. 63)
Symmetry-distinct sites (fractional):
Li  0.0000  0.0621  0.2500
Tl  0.0000  0.2279  0.7500
Te  0.0000  0.5000  0.0000
Se  0.0000  0.1389  0.0379
Se  0.0000  0.4527  0.2500

Computed properties:
* ΔE_f (raw): -415 meV/atom
* N(E_F): 2.60 states/eV/f.u.


# 2
First-principles (PBE) data for a relaxed Sr2Zn2CuPd5 crystal, as listed in Alexandria.

Lattice parameters (Å, degrees): 10.0351 10.0351 3.6983 90.00 90.00 90.00
Space group P4/mbm (No. 127)
Symmetry-distinct sites (fractional):
Sr  0.1776  0.3224  0.0000
Zn  0.1231  0.6231  0.0000
Cu  0.0000  0.0000  0.0000
Pd  0.0000  0.5000  0.5000
Pd  0.0597  0.8012  0.5000

Computed properties:
* energy relative to the elements: -438.8 meV per atom
* N(E_F): 3.09 states/eV/f.u.


# 3
First-principles (PBE) data for a relaxed RbTa2NbP crystal, as listed in Alexandria.

Lattice parameters (Å, degrees): 5.0869 5.0869 5.0034 90.00 90.00 90.00
Space group P4/mmm (No. 123)
Symmetry-distinct sites (fractional):
Rb  0.0000  0.0000  0.0000
Ta  0.0000  0.5000  0.5000
Nb  0.5000  0.5000  0.5000
P  0.5000  0.5000  0.0000

Computed properties:
* energy relative to the elements: 1380.0 meV per atom
* N(E_F): 4.92 states/eV/f.u.


# 4
First-principles (PBE) data for a relaxed SrY2Hg6 crystal, as listed in Alexandria.

Lattice parameters (Å, degrees): 8.6793 8.6793 3.5370 90.00 90.00 120.00
Space group P6/mmm (No. 191)
Symmetry-distinct sites (fractional):
Sr  0.0000  0.0000  0.0000
Y  0.3333  0.6667  0.0000
Hg  0.0000  0.3362  0.5000

Computed properties:
* energy relative to the elements: -403.3 meV per atom
* N(E_F): 6.82 states/eV/f.u.


# 5
First-principles (PBE) data for a relaxed CeY3Th2P6 crystal, as listed in Alexandria.

Lattice parameters (Å, degrees): 7.0714 12.2483 7.0263 90.00 109.59 90.00
Space group C2/m (No. 12)
Symmetry-distinct sites (fractional):
Ce  0.0000  0.0000  0.0000
Y  0.0000  0.1666  0.5000
Y  0.0000  0.5000  0.5000
Th  0.0000  0.3335  0.0000
P  0.2469  0.0000  0.7450
P  0.2489  0.3340  0.7447

Computed properties:
* energy relative to the elements: -1593.4 meV per atom
* N(E_F): 7.92 states/eV/f.u.


# 6
First-principles (PBE) data for a relaxed Y2CoRu crystal, as listed in Alexandria.

Lattice parameters (Å, degrees): 3.4796 3.4796 23.7266 90.00 90.00 120.00
Space group R-3m (No. 166, hexagonal axes)
Symmetry-distinct sites (fractional):
Y  0.0000  0.0000  0.2487
Co  0.0000  0.0000  0.5000
Ru  0.0000  0.0000  0.0000

Computed properties:
* energy relative to the elements: 156.3 meV per atom
* N(E_F): 3.33 states/eV/f.u.